(1)
DFT (GGA-PBE) results for Tb3TlI3 after structural relaxation.

As for the uncorrected formation energy: -884 meV/atom.

It has space group I4_132 (No. 214), with a = 12.464 Å, b = 12.464 Å, c = 12.464 Å, α = 90.00°, β = 90.00° and γ = 90.00°. The asymmetric unit holds Tb at (0.114, 0.364, 0.125), Tl at (0.125, 0.125, 0.125) and I at (0.119, 0.131, 0.625).

---

(2)
DFT (GGA-PBE) results for CaReAs2 after structural relaxation.

As for the polymorph energy (0 for the lowest one): 1.25 eV per formula unit. The formation energy is 0.0195 eV/atom.

It has space group P4mm (No. 99), with a = 3.363 Å, b = 3.363 Å, c = 6.865 Å, α = 90.00°, β = 90.00° and γ = 90.00°. The asymmetric unit holds Ca at (0.000, 0.000, 0.000), Re at (0.500, 0.500, 0.332), As at (0.000, 0.000, 0.467) and As at (0.500, 0.500, 0.717).

---

(3)
DFT (GGA-PBE) results for Ac3Si2Au4 after structural relaxation.

As for the uncorrected formation energy: -802 meV/atom.

It has space group C2/m (No. 12), with a = 11.693 Å, b = 4.544 Å, c = 9.097 Å, α = 90.00°, β = 106.08° and γ = 90.00°. The asymmetric unit holds Ac at (0.000, 0.000, 0.000), Ac at (0.164, 0.500, 0.663), Si at (0.107, 0.500, 0.281), Au at (0.060, 0.000, 0.380) and Au at (0.214, 0.500, 0.070).

---

Number 1: E -3.87 eV/atom. Number 2: E -5.92 eV/atom. Number 3: E -4.83 eV/atom.